Entry P
ZrS2NO: relaxed, GGA-PBE.

```
ZrS2NO
1.0
4.020 0.000 0.000
0.000 4.020 0.000
0.000 0.000 4.042
Zr S N O
1 2 1 1
direct
0.000 0.000 0.000
0.000 0.500 0.500
0.500 0.000 0.500
0.500 0.500 0.000
0.500 0.500 0.500
```

Values from the calculation:
- symmetry = P4/mmm (123)
- volume (A^3/atom) = 13.06

Entry Q
ZrS2NO: relaxed, GGA-PBE.

```
ZrS2NO
1.0
5.066 0.000 0.000
0.000 5.066 0.000
0.000 0.000 4.263
Zr S N O
1 2 1 1
direct
0.000 0.000 0.000
0.000 0.500 0.000
0.500 0.000 0.000
0.000 0.000 0.500
0.500 0.500 0.500
```

Values from the calculation:
- symmetry = P4/mmm (123)
- volume (A^3/atom) = 21.88

Which of them is most stable, and which least? Most stable: entry P; least stable: entry Q.

Entry P
SbNO: relaxed, GGA-PBE.

```
SbNO
1.0
9.499 -2.118 0.000
9.499 2.118 0.000
-0.094 0.000 3.275
Sb N O
2 2 2
direct
0.180 0.180 0.488
0.820 0.820 0.512
0.471 0.471 0.991
0.529 0.529 0.009
0.287 0.287 0.507
0.713 0.713 0.493
```

Values from the calculation:
- symmetry = C2/m (12)
- volume (A^3/atom) = 21.96

Entry Q
SbNO: relaxed, GGA-PBE.

```
SbNO
1.0
9.903 0.000 0.000
0.000 4.231 0.000
-0.395 0.000 6.622
Sb N O
4 4 4
direct
0.134 0.250 0.261
0.134 0.250 0.761
0.866 0.750 0.239
0.866 0.750 0.739
0.465 0.555 0.441
0.465 0.945 0.941
0.535 0.055 0.059
0.535 0.445 0.559
0.071 0.749 0.256
0.071 0.751 0.756
0.929 0.249 0.244
0.929 0.251 0.744
```

Values from the calculation:
- symmetry = P2_1/c (14)
- volume (A^3/atom) = 23.12

Entry R
SbNO: relaxed, GGA-PBE.

```
SbNO
1.0
-1.627 1.804 11.504
1.627 -1.804 11.504
1.627 1.804 -11.504
Sb N O
2 2 2
direct
0.186 0.186 0.000
0.814 0.814 0.000
0.346 0.500 0.846
0.654 0.500 0.154
0.356 0.856 0.500
0.644 0.144 0.500
```

Values from the calculation:
- symmetry = Immm (71)
- volume (A^3/atom) = 22.50

Which of them is most stable, and which least? Most stable: entry P; least stable: entry R.

Entry P
SbN2O: relaxed, GGA-PBE.

```
SbN2O
1.0
3.289 0.000 0.000
0.020 3.871 0.000
0.203 1.682 8.169
Sb N O
1 2 1
direct
0.000 0.000 0.000
0.495 0.581 0.454
0.504 0.345 0.556
0.502 0.678 0.996
```

Values from the calculation:
- symmetry = P1 (1)
- volume (A^3/atom) = 26.00

Entry Q
SbN2O: relaxed, GGA-PBE.

```
SbN2O
1.0
-2.146 2.146 5.709
2.146 -2.146 5.709
2.146 2.146 -5.709
Sb N O
2 4 2
direct
0.000 0.000 0.000
0.750 0.250 0.500
0.155 0.625 0.030
0.375 0.405 0.530
0.595 0.125 0.970
0.875 0.845 0.470
0.250 0.750 0.500
0.500 0.500 0.000
```

Values from the calculation:
- symmetry = I-42d (122)
- volume (A^3/atom) = 13.15

Entry R
SbN2O: relaxed, GGA-PBE.

```
SbN2O
1.0
1.613 0.932 5.908
-1.613 0.932 5.908
0.000 -1.863 5.908
Sb N O
1 2 1
direct
0.000 0.000 0.000
0.119 0.119 0.119
0.881 0.881 0.881
0.500 0.500 0.500
```

Values from the calculation:
- symmetry = R-3m (166)
- volume (A^3/atom) = 13.32

Which of them is most stable, and which least? Most stable: entry P; least stable: entry R.

Entry P
SbN2O: relaxed, GGA-PBE.

```
SbN2O
1.0
0.000 2.714 2.714
2.714 0.000 2.714
2.714 2.714 0.000
Sb N O
1 2 1
direct
0.000 0.000 0.000
0.250 0.250 0.250
0.750 0.750 0.750
0.500 0.500 0.500
```

Values from the calculation:
- symmetry = Fm-3m (225)
- volume (A^3/atom) = 10.00

Entry Q
SbN2O: relaxed, GGA-PBE.

```
SbN2O
1.0
1.653 0.955 5.577
-1.653 0.955 5.577
0.000 -1.909 5.577
Sb N O
1 2 1
direct
0.000 0.000 0.000
0.398 0.398 0.398
0.602 0.602 0.602
0.500 0.500 0.500
```

Values from the calculation:
- symmetry = R-3m (166)
- volume (A^3/atom) = 13.20

Which of them is most stable, and which least? Most stable: entry Q; least stable: entry P.

Entry P
SbSe2NO: relaxed, GGA-PBE.

```
SbSe2NO
1.0
5.338 0.000 0.000
0.000 5.338 0.000
0.000 0.000 3.957
Sb Se N O
1 2 1 1
direct
0.000 0.000 0.000
0.000 0.500 0.000
0.500 0.000 0.000
0.000 0.000 0.500
0.500 0.500 0.500
```

Values from the calculation:
- symmetry = P4/mmm (123)
- volume (A^3/atom) = 22.55

Entry Q
SbSe2NO: relaxed, GGA-PBE.

```
SbSe2NO
1.0
4.399 0.000 0.000
0.000 4.399 0.000
0.000 0.000 4.218
Sb Se N O
1 2 1 1
direct
0.000 0.000 0.000
0.000 0.500 0.500
0.500 0.000 0.500
0.500 0.500 0.000
0.500 0.500 0.500
```

Values from the calculation:
- symmetry = P4/mmm (123)
- volume (A^3/atom) = 16.32

Which of them is most stable, and which least? Most stable: entry Q; least stable: entry P.

Entry P
Sc4NO: relaxed, GGA-PBE.

```
Sc4NO
1.0
-3.791 3.791 3.267
3.791 -3.791 3.267
3.791 3.791 -3.267
Sc N O
8 2 2
direct
0.202 0.000 0.202
0.246 0.542 0.296
0.246 0.949 0.704
0.292 0.496 0.796
0.699 0.496 0.204
0.750 0.048 0.298
0.750 0.452 0.702
0.798 0.000 0.798
0.245 0.245 0.000
0.995 0.495 0.500
0.500 0.000 0.500
0.750 0.750 0.000
```

Values from the calculation:
- symmetry = I4_1md (109)
- volume (A^3/atom) = 15.65

Entry Q
Sc4NO: relaxed, GGA-PBE.

```
Sc4NO
1.0
-3.228 3.231 4.552
3.228 -3.231 4.552
3.228 3.231 -4.552
Sc N O
8 2 2
direct
0.257 0.249 0.492
0.257 0.765 0.008
0.260 0.247 0.013
0.266 0.753 0.513
0.734 0.247 0.487
0.740 0.753 0.987
0.743 0.235 0.992
0.743 0.751 0.508
0.500 0.000 0.000
0.500 0.500 0.500
0.000 0.000 0.000
0.500 0.000 0.500
```

Values from the calculation:
- symmetry = Imma (74)
- volume (A^3/atom) = 15.83

Which of them is most stable, and which least? Most stable: entry Q; least stable: entry P.

Entry P
Sc3NO2: relaxed, GGA-PBE.

```
Sc3NO2
1.0
-1.727 5.167 2.434
1.727 -5.167 2.434
1.727 5.167 -2.434
Sc N O
3 1 2
direct
0.000 0.000 0.000
0.326 0.992 0.334
0.657 0.992 0.666
0.247 0.747 0.500
0.577 0.744 0.833
0.911 0.744 0.167
```

Values from the calculation:
- symmetry = Imm2 (44)
- volume (A^3/atom) = 14.48

Entry Q
Sc3NO2: relaxed, GGA-PBE.

```
Sc3NO2
1.0
-1.584 2.234 4.800
1.584 -2.234 4.800
1.584 2.234 -4.800
Sc N O
3 1 2
direct
0.000 0.000 0.000
0.341 0.341 0.000
0.659 0.659 0.000
0.500 0.000 0.500
0.168 0.668 0.500
0.832 0.332 0.500
```

Values from the calculation:
- symmetry = Immm (71)
- volume (A^3/atom) = 11.32

Which of them is most stable, and which least? Most stable: entry Q; least stable: entry P.

Entry P
Sc6N2O5: relaxed, GGA-PBE.

```
Sc6N2O5
1.0
4.998 -2.211 0.000
4.998 2.211 0.000
-1.030 0.000 6.943
Sc N O
6 2 5
direct
0.065 0.065 0.216
0.209 0.209 0.639
0.354 0.354 0.077
0.646 0.646 0.923
0.791 0.791 0.361
0.935 0.935 0.784
0.142 0.142 0.925
0.858 0.858 0.075
0.000 0.000 0.500
0.273 0.273 0.355
0.422 0.422 0.797
0.578 0.578 0.203
0.727 0.727 0.645
```

Values from the calculation:
- symmetry = C2/m (12)
- volume (A^3/atom) = 11.81

Entry Q
Sc6N2O5: relaxed, GGA-PBE.

```
Sc6N2O5
1.0
5.460 0.000 0.000
-0.919 5.384 0.000
-0.941 -1.107 5.267
Sc N O
6 2 5
direct
0.000 0.000 0.000
0.124 0.568 0.280
0.279 0.151 0.584
0.409 0.696 0.873
0.564 0.278 0.156
0.698 0.861 0.448
0.220 0.348 0.947
0.347 0.925 0.225
0.068 0.802 0.644
0.473 0.506 0.503
0.622 0.048 0.800
0.767 0.651 0.104
0.922 0.199 0.348
```

Values from the calculation:
- symmetry = P1 (1)
- volume (A^3/atom) = 11.91

Which of them is most stable, and which least? Most stable: entry P; least stable: entry Q.

Entry P
SiSe2NO: relaxed, GGA-PBE.

```
SiSe2NO
1.0
4.991 0.000 0.000
0.000 4.991 0.000
0.000 0.000 3.227
Si Se N O
1 2 1 1
direct
0.000 0.000 0.000
0.000 0.500 0.000
0.500 0.000 0.000
0.000 0.000 0.500
0.500 0.500 0.500
```

Values from the calculation:
- symmetry = P4/mmm (123)
- volume (A^3/atom) = 16.08

Entry Q
SiSe2NO: relaxed, GGA-PBE.

```
SiSe2NO
1.0
4.310 0.000 0.000
0.000 4.310 0.000
0.000 0.000 4.024
Si Se N O
1 2 1 1
direct
0.000 0.000 0.000
0.000 0.500 0.500
0.500 0.000 0.500
0.500 0.500 0.000
0.500 0.500 0.500
```

Values from the calculation:
- symmetry = P4/mmm (123)
- volume (A^3/atom) = 14.95

Which of them is most stable, and which least? Most stable: entry P; least stable: entry Q.

Entry P
TiSe2NO: relaxed, GGA-PBE.

```
TiSe2NO
1.0
4.268 0.000 0.000
0.000 4.268 0.000
0.000 0.000 3.879
Ti Se N O
1 2 1 1
direct
0.000 0.000 0.000
0.000 0.500 0.500
0.500 0.000 0.500
0.500 0.500 0.000
0.500 0.500 0.500
```

Values from the calculation:
- symmetry = P4/mmm (123)
- volume (A^3/atom) = 14.13

Entry Q
TiSe2NO: relaxed, GGA-PBE.

```
TiSe2NO
1.0
4.902 0.000 0.000
0.000 4.902 0.000
0.000 0.000 3.781
Ti Se N O
1 2 1 1
direct
0.000 0.000 0.000
0.000 0.500 0.000
0.500 0.000 0.000
0.000 0.000 0.500
0.500 0.500 0.500
```

Values from the calculation:
- symmetry = P4/mmm (123)
- volume (A^3/atom) = 18.17

Which of them is most stable, and which least? Most stable: entry Q; least stable: entry P.